Entry 1:
TbPm3N: optimized geometry, PBE-GGA.

CIF file:
```
data_TbPm3N
_cell_length_a 5.1084
_cell_length_b 5.1084
_cell_length_c 5.1084
_cell_angle_alpha 90.00
_cell_angle_beta 90.00
_cell_angle_gamma 90.00
_symmetry_space_group_name_H-M 'P 1'
_symmetry_Int_Tables_number 1
_symmetry_space_group_name_Hall 'P 1'
loop_
_atom_site_label
_atom_site_fract_x
_atom_site_fract_y
_atom_site_fract_z
Tb1 0.5000 0.5000 0.5000
Pm1 0.5000 0.0000 0.0000
Pm2 0.0000 0.5000 0.0000
Pm3 0.0000 0.0000 0.5000
N1 0.0000 0.0000 0.0000
```

The calculation puts the density of states at the Fermi level at 5.72 states/eV/cell. Its magnetization is 0.0 μB/f.u. The uncorrected formation energy is -0.46 eV per atom. Its calculated volume is 26.66 Å³ per atom.


Entry 2:
TbPmN: optimized geometry, PBE-GGA.

CIF file:
```
data_TbPmN
_cell_length_a 3.7916
_cell_length_b 5.2270
_cell_length_c 7.6823
_cell_angle_alpha 90.00
_cell_angle_beta 104.18
_cell_angle_gamma 90.00
_symmetry_space_group_name_H-M 'P 1'
_symmetry_Int_Tables_number 1
_symmetry_space_group_name_Hall 'P 1'
loop_
_atom_site_label
_atom_site_fract_x
_atom_site_fract_y
_atom_site_fract_z
Pm1 0.9273 0.2500 0.8529
Pm2 0.0727 0.7500 0.1471
Tb1 0.3352 0.7500 0.6675
Tb2 0.6648 0.2500 0.3325
N1 0.0806 0.2500 0.1624
N2 0.9194 0.7500 0.8376
```

The calculation puts the density of states at the Fermi level at 4.23 states/eV/cell. The energy above the lowest structure with this stoichiometry comes out at 0.26 eV per formula unit. Its magnetization is 0.0 μB/f.u. The uncorrected formation energy is -0.87 eV per atom. Its calculated volume is 24.60 Å³ per atom.


Entry 3:
TbPmN2: optimized geometry, PBE-GGA.

CIF file:
```
data_TbPmN2
_cell_length_a 5.0317
_cell_length_b 5.0356
_cell_length_c 10.0587
_cell_angle_alpha 90.01
_cell_angle_beta 90.00
_cell_angle_gamma 90.00
_symmetry_space_group_name_H-M 'P 1'
_symmetry_Int_Tables_number 1
_symmetry_space_group_name_Hall 'P 1'
loop_
_atom_site_label
_atom_site_fract_x
_atom_site_fract_y
_atom_site_fract_z
Pm1 0.7501 0.4989 0.3750
Pm2 0.7501 0.0011 0.1250
Pm3 0.2499 0.5011 0.6250
Pm4 0.2499 0.9989 0.8750
N1 0.7501 0.4953 0.6292
N2 0.2504 0.9971 0.6207
N3 0.7496 0.0029 0.3793
N4 0.2499 0.9953 0.1292
N5 0.7501 0.0047 0.8708
N6 0.2504 0.5029 0.8793
N7 0.7496 0.4971 0.1207
N8 0.2499 0.5047 0.3708
Tb1 0.7498 0.4979 0.8750
Tb2 0.2502 0.9979 0.3750
Tb3 0.2502 0.5021 0.1250
Tb4 0.7498 0.0021 0.6250
```

The calculation puts the density of states at the Fermi level at 1.81 states/eV/cell. The energy above the lowest structure with this stoichiometry comes out at 0.02 eV per formula unit. Its magnetization is 0.0 μB/f.u. The uncorrected formation energy is -1.54 eV per atom. Its calculated volume is 15.93 Å³ per atom.


Entry 4:
TbPm2N: optimized geometry, PBE-GGA.

CIF file:
```
data_TbPm2N
_cell_length_a 3.5879
_cell_length_b 3.5879
_cell_length_c 9.5014
_cell_angle_alpha 79.12
_cell_angle_beta 79.12
_cell_angle_gamma 60.00
_symmetry_space_group_name_H-M 'P 1'
_symmetry_Int_Tables_number 1
_symmetry_space_group_name_Hall 'P 1'
loop_
_atom_site_label
_atom_site_fract_x
_atom_site_fract_y
_atom_site_fract_z
N1 0.0000 0.0000 0.0000
Pm1 0.2827 0.2827 0.1518
Pm2 0.7173 0.7173 0.8482
Tb1 0.5000 0.5000 0.5000
```

The calculation puts the density of states at the Fermi level at 3.72 states/eV/cell. Its magnetization is 0.0 μB/f.u. The uncorrected formation energy is -0.64 eV per atom. Its calculated volume is 25.84 Å³ per atom.


Entry 5:
Tb2PmN: optimized geometry, PBE-GGA.

CIF file:
```
data_Tb2PmN
_cell_length_a 3.1878
_cell_length_b 3.1878
_cell_length_c 8.9575
_cell_angle_alpha 90.00
_cell_angle_beta 90.00
_cell_angle_gamma 90.00
_symmetry_space_group_name_H-M 'P 1'
_symmetry_Int_Tables_number 1
_symmetry_space_group_name_Hall 'P 1'
loop_
_atom_site_label
_atom_site_fract_x
_atom_site_fract_y
_atom_site_fract_z
Tb1 0.0000 0.0000 0.8415
Tb2 0.0000 0.0000 0.1585
Pm1 0.5000 0.5000 0.5000
N1 0.5000 0.5000 0.0000
```

The calculation puts the density of states at the Fermi level at 4.87 states/eV/cell. The energy above the lowest structure with this stoichiometry comes out at 2.33 eV per formula unit. Its magnetization is 0.0 μB/f.u. The uncorrected formation energy is -0.18 eV per atom. Its calculated volume is 22.76 Å³ per atom.


Entry 6:
TbPmTeN: optimized geometry, PBE-GGA.

CIF file:
```
data_TbPmTeN
_cell_length_a 3.8378
_cell_length_b 3.7784
_cell_length_c 7.1900
_cell_angle_alpha 105.23
_cell_angle_beta 105.48
_cell_angle_gamma 90.00
_symmetry_space_group_name_H-M 'P 1'
_symmetry_Int_Tables_number 1
_symmetry_space_group_name_Hall 'P 1'
loop_
_atom_site_label
_atom_site_fract_x
_atom_site_fract_y
_atom_site_fract_z
Tb1 0.6708 0.1291 0.3416
N1 0.5740 0.5323 0.1481
Pm1 0.9724 0.4307 0.9448
Te1 0.3176 0.7758 0.6352
```

The calculation puts the density of states at the Fermi level at 1.81 states/eV/cell. Its magnetization is 0.2 μB/f.u. The uncorrected formation energy is -1.33 eV per atom. Its calculated volume is 24.17 Å³ per atom.


Entry 7:
TbPm2ThN4: optimized geometry, PBE-GGA.

CIF file:
```
data_TbPm2ThN4
_cell_length_a 3.6076
_cell_length_b 6.2196
_cell_length_c 6.2343
_cell_angle_alpha 109.33
_cell_angle_beta 90.00
_cell_angle_gamma 90.00
_symmetry_space_group_name_H-M 'P 1'
_symmetry_Int_Tables_number 1
_symmetry_space_group_name_Hall 'P 1'
loop_
_atom_site_label
_atom_site_fract_x
_atom_site_fract_y
_atom_site_fract_z
N1 0.0000 0.2513 0.7596
N2 0.0000 0.7487 0.2404
N3 0.5000 0.2467 0.2404
N4 0.5000 0.7533 0.7596
Pm1 0.5000 0.0000 0.5000
Pm2 0.0000 0.5000 0.5000
Th1 0.0000 0.0000 0.0000
Tb1 0.5000 0.5000 0.0000
```

The calculation puts the density of states at the Fermi level at 1.78 states/eV/cell. Its magnetization is 0.0 μB/f.u. The uncorrected formation energy is -1.56 eV per atom. Its calculated volume is 16.50 Å³ per atom.


Entry 8:
Tb3PmTh2N6: optimized geometry, PBE-GGA.

CIF file:
```
data_Tb3PmTh2N6
_cell_length_a 3.5834
_cell_length_b 7.1479
_cell_length_c 7.9829
_cell_angle_alpha 102.80
_cell_angle_beta 102.97
_cell_angle_gamma 90.00
_symmetry_space_group_name_H-M 'P 1'
_symmetry_Int_Tables_number 1
_symmetry_space_group_name_Hall 'P 1'
loop_
_atom_site_label
_atom_site_fract_x
_atom_site_fract_y
_atom_site_fract_z
Tb1 0.1647 0.8345 0.3294
Tb2 0.5000 0.5000 0.0000
Tb3 0.8353 0.1655 0.6706
N1 0.6687 0.0847 0.3373
N2 0.3338 0.4168 0.6675
N3 0.6662 0.5833 0.3325
N4 0.9987 0.7430 0.9975
N5 0.0013 0.2570 0.0025
N6 0.3313 0.9153 0.6627
Th1 0.8348 0.6704 0.6696
Th2 0.1652 0.3296 0.3304
Pm1 0.5000 0.0000 0.0000
```

The calculation puts the density of states at the Fermi level at 2.64 states/eV/cell. Its magnetization is 0.0 μB/f.u. The uncorrected formation energy is -1.61 eV per atom. Its calculated volume is 16.17 Å³ per atom.


Entry 9:
Tb2PmTiN4: optimized geometry, PBE-GGA.

CIF file:
```
data_Tb2PmTiN4
_cell_length_a 3.4220
_cell_length_b 6.1443
_cell_length_c 11.9570
_cell_angle_alpha 90.00
_cell_angle_beta 90.00
_cell_angle_gamma 106.17
_symmetry_space_group_name_H-M 'P 1'
_symmetry_Int_Tables_number 1
_symmetry_space_group_name_Hall 'P 1'
loop_
_atom_site_label
_atom_site_fract_x
_atom_site_fract_y
_atom_site_fract_z
Tb1 0.6299 0.2598 0.0392
Tb2 0.6299 0.2598 0.4608
Tb3 0.3701 0.7402 0.9608
Tb4 0.3701 0.7402 0.5392
N1 0.0000 0.0000 0.0000
N2 0.4323 0.8646 0.7500
N3 0.2637 0.5274 0.3741
N4 0.7363 0.4726 0.8741
N5 0.7363 0.4726 0.6259
N6 0.0000 0.0000 0.5000
N7 0.5677 0.1354 0.2500
N8 0.2637 0.5274 0.1259
Ti1 0.1647 0.3294 0.2500
Ti2 0.8353 0.6706 0.7500
Pm1 0.0990 0.1981 0.7500
Pm2 0.9010 0.8019 0.2500
```

The calculation puts the density of states at the Fermi level at 5.73 states/eV/cell. Its magnetization is 0.0 μB/f.u. The uncorrected formation energy is -1.44 eV per atom. Its calculated volume is 15.09 Å³ per atom.


Entry 10:
TbPmTiN3: optimized geometry, PBE-GGA.

CIF file:
```
data_TbPmTiN3
_cell_length_a 3.5654
_cell_length_b 7.2318
_cell_length_c 7.7788
_cell_angle_alpha 97.90
_cell_angle_beta 90.00
_cell_angle_gamma 90.00
_symmetry_space_group_name_H-M 'P 1'
_symmetry_Int_Tables_number 1
_symmetry_space_group_name_Hall 'P 1'
loop_
_atom_site_label
_atom_site_fract_x
_atom_site_fract_y
_atom_site_fract_z
Ti1 0.2500 0.1004 0.5987
Ti2 0.7500 0.8996 0.4013
Tb1 0.7500 0.3694 0.8404
Tb2 0.2500 0.6306 0.1596
N1 0.2500 0.8300 0.4774
N2 0.2500 0.6007 0.8633
N3 0.7500 0.8911 0.1506
N4 0.2500 0.1089 0.8494
N5 0.7500 0.1700 0.5226
N6 0.7500 0.3993 0.1367
Pm1 0.2500 0.1662 0.1635
Pm2 0.7500 0.8338 0.8365
```

The calculation puts the density of states at the Fermi level at 3.59 states/eV/cell. Its magnetization is 0.0 μB/f.u. The uncorrected formation energy is -1.32 eV per atom. Its calculated volume is 16.56 Å³ per atom.


The following energy values (in eV per atom) correspond, in order, to the records above: -5.91 -6.77 -8.04 -6.26 -5.76 -6.55 -8.42 -8.56 -8.34 -8.36.